The following is a PBE+U calculation of an optimized crystal structure of Li4TiCo5O12, from Alexandria.

Computed properties:
As for the calculated total energy: -6.11 eV per atom. As for the space group: P-1 (2). The total magnetic moment is 1.77 μB per cell.

Lattice parameters (Å, degrees): 4.896 4.899 19.906 88.12 86.08 60.02
Element x y z (fractional)
Li  0.059  0.339  0.377
Li  0.102  0.341  0.123
Li  0.401  0.658  0.375
Li  0.441  0.660  0.125
Li  0.559  0.340  0.875
Li  0.599  0.342  0.625
Li  0.898  0.659  0.877
Li  0.941  0.661  0.623
Ti  0.000  0.000  0.500
Ti  0.500  0.000  0.000
Co  0.084  0.333  0.250
Co  0.166  0.669  0.000
Co  0.249  0.000  0.750
Co  0.335  0.331  0.500
Co  0.417  0.667  0.250
Co  0.583  0.333  0.750
Co  0.665  0.669  0.500
Co  0.751  0.000  0.250
Co  0.834  0.331  0.000
Co  0.916  0.667  0.750
O  0.022  0.654  0.447
O  0.073  0.004  0.301
O  0.101  0.660  0.199
O  0.152  0.000  0.054
O  0.176  0.345  0.947
O  0.231  0.665  0.801
O  0.259  0.340  0.699
O  0.324  0.654  0.553
O  0.349  0.999  0.446
O  0.397  0.336  0.301
O  0.425  0.003  0.199
O  0.478  0.346  0.053
O  0.522  0.654  0.947
O  0.575  0.997  0.801
O  0.603  0.664  0.699
O  0.651  0.001  0.554
O  0.676  0.346  0.447
O  0.741  0.660  0.301
O  0.769  0.335  0.199
O  0.824  0.655  0.053
O  0.848  0.000  0.946
O  0.899  0.340  0.801
O  0.927  0.996  0.699
O  0.978  0.346  0.553